No. 1
A plane-wave DFT calculation with PBE was carried out for a geometry-optimized AlTeW2 structure.

Formation energy without anion corrections ... 0.419 eV/atom

CIF file:
```
data_AlTeW2
_chemical_formula_sum 'Al2 Te2 W4'
_cell_length_a 9.321
_cell_length_b 3.240
_cell_length_c 4.821
_cell_angle_alpha 90.00
_cell_angle_beta 107.70
_cell_angle_gamma 90.00
_symmetry_space_group_name_H-M 'C 1 m 1'
_symmetry_Int_Tables_number 8
loop_
_symmetry_equiv_pos_as_xyz
'x,y,z'
'x,-y,z'
'x+1/2,y+1/2,z'
'x+1/2,-y+1/2,z'
loop_
_atom_site_label
_atom_site_fract_x
_atom_site_fract_y
_atom_site_fract_z
Al1 0.000 0.000 0.000
Te1 0.265 0.500 0.329
W1 0.018 0.500 0.526
W2 0.258 0.000 0.853
```

***

No. 2
A plane-wave DFT calculation with PBE was carried out for a geometry-optimized Pr2YAg5 structure.

Formation energy ... -0.20 eV/atom

CIF file:
```
data_Pr2YAg5
_chemical_formula_sum 'Pr4 Y2 Ag10'
_cell_length_a 5.170
_cell_length_b 5.170
_cell_length_c 14.470
_cell_angle_alpha 90.00
_cell_angle_beta 90.00
_cell_angle_gamma 90.00
_symmetry_space_group_name_H-M 'I 4/m m m'
_symmetry_Int_Tables_number 139
_symmetry_space_group_name_Hall '-I 4 2'
loop_
_atom_site_label
_atom_site_fract_x
_atom_site_fract_y
_atom_site_fract_z
Pr1 0.000 0.000 0.229
Y1 0.000 0.000 0.500
Ag1 0.000 0.000 0.000
Ag2 0.000 0.500 0.111
```

***

No. 3
A plane-wave DFT calculation with PBE was carried out for a geometry-optimized Ga2Au2Cl structure.

Formation energy without anion corrections ... -0.179 eV/atom

CIF file:
```
data_Ga2Au2Cl
_chemical_formula_sum 'Ga4 Au4 Cl2'
_cell_length_a 4.709
_cell_length_b 4.709
_cell_length_c 10.291
_cell_angle_alpha 90.00
_cell_angle_beta 90.00
_cell_angle_gamma 90.00
_symmetry_space_group_name_H-M 'I 4/m m m'
_symmetry_Int_Tables_number 139
_symmetry_space_group_name_Hall '-I 4 2'
loop_
_atom_site_label
_atom_site_fract_x
_atom_site_fract_y
_atom_site_fract_z
Ga1 0.000 0.500 0.250
Au1 0.000 0.000 0.135
Cl1 0.000 0.000 0.500
```

***

| no. | spin magnetization (μB/cell) |
| --- | --- |
| 1 | 0.000 |
| 2 | 0.000 |
| 3 | 0.000 |